Computed, not measured: CaZn2MoF after structural relaxation at the GGA+U level of DFT.

## Properties
- Fermi-level density of states (states/eV per cell) = 2.149
- energy (eV/atom) = -2.896

a = 5.134 Å, b = 5.134 Å, c = 4.257 Å
α = 90.00°, β = 90.00°, γ = 90.00°
Space group P4/mmm (No. 123)
Symmetry-distinct sites (fractional):
Ca (0.000, 0.000, 0.000) (multiplicity 1)
Zn (0.000, 0.500, 0.500) (multiplicity 2)
Mo (0.500, 0.500, 0.000) (multiplicity 1)
F (0.500, 0.500, 0.500) (multiplicity 1)